Record 1
Density functional theory data (PBE) for crystalline SrMg2AlCo at its relaxed geometry.

Geometry as POSCAR:
```
SrMg2AlCo
1.0
-1.486 3.180 -3.475
2.451 -2.362 -3.210
-3.936 -2.840 -0.915
Al Mg Co Sr
1 2 1 1
direct
0.000 0.500 0.000
0.500 0.000 0.000
0.000 0.000 0.500
0.000 0.000 0.000
0.500 0.500 0.500
```

Properties
N(E_F) = 1.65 states/eV/cell
space-group type = No. 123

Record 2
Density functional theory data (PBE) for crystalline Mg2AlCoW at its relaxed geometry.

Geometry as POSCAR:
```
Mg2AlCoW
1.0
4.725 0.000 0.000
0.000 4.176 0.000
0.000 0.000 4.725
W Mg Co Al
1 2 1 1
direct
0.500 0.500 0.500
0.500 0.000 0.000
0.000 0.000 0.500
0.000 0.500 0.000
0.000 0.000 0.000
```

Properties
N(E_F) = 6.38 states/eV/cell
space-group type = No. 123

Record 3
Density functional theory data (PBE) for crystalline YMgAl2Co at its relaxed geometry.

Geometry as POSCAR:
```
YMgAl2Co
1.0
4.532 0.000 0.000
0.000 4.532 0.000
0.000 0.000 4.689
Al Y Mg Co
2 1 1 1
direct
0.000 0.500 0.000
0.500 0.000 0.000
0.500 0.500 0.500
0.000 0.000 0.500
0.000 0.000 0.000
```

Properties
N(E_F) = 1.70 states/eV/cell
space-group type = No. 123

Record 4
Density functional theory data (PBE) for crystalline MgAl2ZnCo at its relaxed geometry.

Geometry as POSCAR:
```
MgAl2ZnCo
1.0
-0.457 4.262 1.262
-3.918 -1.083 2.238
2.350 -0.845 3.705
Zn Co Al Mg
1 1 2 1
direct
0.000 0.500 0.000
0.000 0.000 0.000
0.000 0.000 0.500
0.500 0.000 0.000
0.500 0.500 0.500
```

Properties
N(E_F) = 1.83 states/eV/cell
space-group type = No. 123

Record 5
Density functional theory data (PBE) for crystalline MgZrAlCo at its relaxed geometry.

Geometry as POSCAR:
```
MgZrAlCo
1.0
4.482 0.000 0.000
2.241 3.881 0.000
2.241 1.294 3.659
Co Mg Al Zr
1 1 1 1
direct
0.500 0.500 0.500
0.000 0.000 0.000
0.750 0.750 0.750
0.250 0.250 0.250
```

Properties
space-group type = No. 216

Record 6
Density functional theory data (PBE) for crystalline MnAlCo2 at its relaxed geometry.

Geometry as POSCAR:
```
MnAlCo2
1.0
2.654 0.000 0.000
0.000 3.552 0.000
0.000 0.000 5.108
Co Mn Al
2 1 1
direct
0.000 0.000 0.000
0.500 0.500 0.251
0.000 0.000 0.488
0.500 0.500 0.761
```

Properties
N(E_F) = 4.14 states/eV/cell
space-group type = No. 25

Record 7
Density functional theory data (PBE) for crystalline MnAlCo2 at its relaxed geometry.

Geometry as POSCAR:
```
MnAlCo2
1.0
3.515 0.000 0.000
0.000 3.515 0.000
1.757 1.757 8.031
Mn Co Al
2 4 2
direct
0.000 0.000 0.000
0.750 0.250 0.500
0.112 0.625 0.250
0.638 0.125 0.250
0.375 0.362 0.750
0.875 0.888 0.750
0.250 0.750 0.500
0.500 0.500 0.000
```

Properties
N(E_F) = 13.29 states/eV/cell
space-group type = No. 122

Record 8
Density functional theory data (PBE) for crystalline MnAlCo3 at its relaxed geometry.

Geometry as POSCAR:
```
MnAlCo3
1.0
4.144 0.000 0.000
0.000 4.144 0.000
0.000 0.000 4.144
Mn Al Co
1 1 3
direct
0.000 0.000 0.000
0.500 0.500 0.500
0.500 0.000 0.000
0.000 0.000 0.500
0.000 0.500 0.000
```

Properties
N(E_F) = 8.09 states/eV/cell
space-group type = No. 221
distance to the lowest polymorph of the same formula = 0 meV/atom

Record 9
Density functional theory data (PBE) for crystalline Mn2Al7Co2 at its relaxed geometry.

Geometry as POSCAR:
```
Mn2Al7Co2
1.0
-3.310 3.647 0.029
0.340 -1.358 -4.722
-4.028 -4.698 1.855
Al Co Mn
7 2 2
direct
0.078 0.499 0.804
0.922 0.501 0.196
0.000 0.000 0.000
0.501 0.922 0.196
0.801 0.801 0.558
0.499 0.078 0.804
0.199 0.199 0.442
0.719 0.281 0.500
0.281 0.719 0.500
0.609 0.609 0.877
0.391 0.391 0.123
```

Properties
N(E_F) = 8.38 states/eV/cell
space-group type = No. 12

Record 10
Density functional theory data (PBE) for crystalline MnAl8Co2 at its relaxed geometry.

Geometry as POSCAR:
```
MnAl8Co2
1.0
4.059 0.000 -1.055
-0.250 4.650 -0.961
0.079 -0.046 8.636
Mn Al Co
1 8 2
direct
0.500 0.000 0.000
0.654 0.051 0.307
0.580 0.505 0.160
0.420 0.495 0.840
0.243 0.338 0.486
0.941 0.129 0.882
0.346 0.949 0.693
0.059 0.871 0.118
0.757 0.662 0.514
0.801 0.184 0.601
0.199 0.816 0.399
```

Properties
N(E_F) = 4.46 states/eV/cell
space-group type = No. 12
distance to the lowest polymorph of the same formula = 0 meV/atom

Record 11
Density functional theory data (PBE) for crystalline MnAlCo2 at its relaxed geometry.

Geometry as POSCAR:
```
MnAlCo2
1.0
-4.546 0.700 1.288
-4.554 -0.556 -1.327
-1.818 -3.210 1.548
Al Mn Co
1 1 2
direct
0.255 0.255 0.245
0.493 0.493 0.507
0.004 0.004 0.996
0.748 0.748 0.752
```

Properties
N(E_F) = 2.85 states/eV/cell
space-group type = No. 44

Record 12
Density functional theory data (PBE) for crystalline MnAl3Co2 at its relaxed geometry.

Geometry as POSCAR:
```
MnAl3Co2
1.0
-2.381 -1.479 0.352
1.487 -2.402 -0.032
1.017 0.510 9.021
Co Al Mn
2 3 1
direct
0.500 0.500 0.840
0.500 0.500 0.160
0.000 0.000 0.681
0.000 0.000 0.000
0.000 0.000 0.319
0.500 0.500 0.500
```

Properties
N(E_F) = 2.80 states/eV/cell
space-group type = No. 123

| no. | M_tot (μB/f.u.) | E (eV per atom) | V (Å³/f.u.) |
| --- | --- | --- | --- |
| 1 | 0.00 | -3.24 | 114.1 |
| 2 | 0.00 | -3.97 | 93.2 |
| 3 | 0.00 | -4.79 | 96.3 |
| 4 | 0.00 | -3.47 | 92.6 |
| 5 | 0.00 | -5.51 | 63.7 |
| 6 | 5.40 | -6.91 | 48.2 |
| 7 | 0.01 | -6.34 | 49.6 |
| 8 | 0.72 | -5.85 | 71.2 |
| 9 | 0.37 | -5.68 | 148.6 |
| 10 | 0.00 | -5.09 | 163.2 |
| 11 | 5.11 | -7.01 | 47.4 |
| 12 | 2.25 | -6.26 | 72.6 |